The following is a DFT calculation (SCAN) of a crystal of La3BiSe relaxed with PBEsol.

The structure in CIF format:
```
data_La3BiSe
_cell_length_a 5.994
_cell_length_b 5.994
_cell_length_c 5.994
_cell_angle_alpha 90.00
_cell_angle_beta 90.00
_cell_angle_gamma 90.00
_space_group_name_H-M_alt 'P m -3 m'
_space_group_IT_number 221
_space_group_name_Hall '-P 4 2 3'
loop_
_atom_site_label
_atom_site_fract_x
_atom_site_fract_y
_atom_site_fract_z
La1 0.000 0.000 0.500
Bi1 0.000 0.000 0.000
Se1 0.500 0.500 0.500
```

Output
Formation energy without anion corrections (eV/atom): -0.123
Calculated total energy (eV for the cell shown): -228.59
DOS at the Fermi energy (states/eV per atom): 1.46

The following is a DFT calculation (SCAN) of a crystal of LaSi3Bi relaxed with PBEsol.

The structure in CIF format:
```
data_LaSi3Bi
_cell_length_a 5.371
_cell_length_b 5.371
_cell_length_c 5.371
_cell_angle_alpha 90.00
_cell_angle_beta 90.00
_cell_angle_gamma 90.00
_space_group_name_H-M_alt 'P m -3 m'
_space_group_IT_number 221
_space_group_name_Hall '-P 4 2 3'
loop_
_atom_site_label
_atom_site_fract_x
_atom_site_fract_y
_atom_site_fract_z
La1 0.000 0.000 0.000
Si1 0.000 0.000 0.500
Bi1 0.500 0.500 0.500
```

Output
Formation energy without anion corrections (eV/atom): 1.438
Calculated total energy (eV for the cell shown): -144.54
DOS at the Fermi energy (states/eV per atom): 0.78